VASP calculation (PBE-GGA) on Zn2AgPd after structural relaxation.

Cell: 3.1037 3.1037 6.3612 Å, 90.00 90.00 90.00°
Element x y z (fractional)
Pd 0.5000 0.5000 0.0000
Zn 0.0000 0.0000 0.7658
Zn 0.0000 0.0000 0.2342
Ag 0.5000 0.5000 0.5000

Output
electronic total energy = -11.723 eV per cell
N(E_F) = 1.38 states/eV/f.u.